First-principles (PBE) data for a relaxed DyP2Pd2Pt7 crystal, as listed in the Alexandria database.

```
DyP2Pd2Pt7
1.0
3.979 0.013 -0.101
0.018 3.979 -0.101
1.645 1.643 12.789
Pt Dy P Pd
7 1 2 2
Direct
0.953 0.451 0.171 Pt
0.451 0.953 0.171 Pt
0.798 0.798 0.568 Pt
0.549 0.047 0.829 Pt
0.500 0.500 0.000 Pt
0.047 0.549 0.829 Pt
0.202 0.202 0.432 Pt
0.000 0.000 0.000 Dy
0.587 0.587 0.726 P
0.413 0.413 0.274 P
0.268 0.268 0.630 Pd
0.732 0.732 0.370 Pd
```

Formation energy (eV per atom): -0.52

First-principles (PBE) data for a relaxed Dy2P3PdRh4 crystal, as listed in the Alexandria database.

```
Dy2P3PdRh4
1.0
-2.462 -0.405 3.062
-0.537 -3.800 -0.934
8.190 -2.689 6.230
Pd Rh P Dy
1 4 3 2
Direct
0.500 0.500 0.500 Pd
0.000 0.000 0.000 Rh
0.500 0.500 0.000 Rh
0.500 0.000 0.665 Rh
0.000 0.500 0.335 Rh
0.500 0.000 0.873 P
0.000 0.500 0.127 P
0.000 0.000 0.500 P
0.000 0.500 0.742 Dy
0.500 0.000 0.258 Dy
```

Formation energy (eV per atom): -0.95

First-principles (PBE) data for a relaxed DySb2P2Pd7 crystal, as listed in the Alexandria database.

```
DySb2P2Pd7
1.0
-1.901 3.039 2.758
-2.200 -3.733 1.299
7.613 -2.088 8.130
Pd P Sb Dy
7 2 2 1
Direct
0.567 0.162 0.785 Pd
0.650 0.650 0.603 Pd
0.162 0.567 0.785 Pd
0.500 0.500 0.000 Pd
0.433 0.838 0.215 Pd
0.350 0.350 0.397 Pd
0.838 0.433 0.215 Pd
0.690 0.690 0.814 P
0.310 0.310 0.186 P
0.850 0.850 0.384 Sb
0.150 0.150 0.616 Sb
0.000 0.000 0.000 Dy
```

Formation energy from raw total energies (eV/atom): -0.52

First-principles (PBE) data for a relaxed Dy6P2PdSe3 crystal, as listed in the Alexandria database.

```
Dy6P2PdSe3
1.0
-0.902 -1.431 -3.645
-5.139 -5.412 3.396
-4.675 7.816 0.303
Se Pd Dy P
3 1 6 2
Direct
0.500 0.500 0.000 Se
0.833 0.168 0.666 Se
0.167 0.832 0.334 Se
0.500 0.000 0.000 Pd
0.333 0.902 0.666 Dy
0.672 0.572 0.343 Dy
0.667 0.098 0.334 Dy
0.328 0.428 0.657 Dy
0.005 0.246 0.010 Dy
0.995 0.754 0.990 Dy
0.167 0.335 0.334 P
0.833 0.665 0.666 P
```

Formation energy from raw total energies (eV/atom): -1.59

First-principles (PBE) data for a relaxed Dy4PPdSe2 crystal, as listed in the Alexandria database.

```
Dy4PPdSe2
1.0
-2.887 -1.697 -2.219
4.834 -4.157 -3.110
0.622 -5.971 3.757
P Pd Dy Se
1 1 4 2
Direct
0.000 0.500 0.500 P
0.500 0.500 0.000 Pd
0.500 0.734 0.262 Dy
0.000 0.263 0.250 Dy
0.500 0.266 0.738 Dy
0.000 0.737 0.750 Dy
0.500 0.000 0.500 Se
0.000 0.000 0.000 Se
```

Formation energy from raw total energies (eV/atom): -1.48

First-principles (PBE) data for a relaxed SrDyP2Pd5 crystal, as listed in the Alexandria database.

```
SrDyP2Pd5
1.0
-0.095 -4.463 0.198
2.458 0.113 3.730
-8.030 0.405 5.279
Pd P Dy Sr
5 2 1 1
Direct
0.000 0.500 0.806 Pd
0.500 0.000 0.194 Pd
0.000 0.500 0.194 Pd
0.500 0.000 0.806 Pd
0.500 0.500 0.500 Pd
0.500 0.500 0.262 P
0.500 0.500 0.738 P
0.000 0.000 0.000 Dy
0.000 0.000 0.500 Sr
```

Formation energy (eV per atom): -0.71

First-principles (PBE) data for a relaxed DyTl2P2Pd7 crystal, as listed in the Alexandria database.

```
DyTl2P2Pd7
1.0
4.080 -0.003 -0.085
0.002 4.080 -0.085
1.638 1.636 13.571
Pd P Dy Tl
7 2 1 2
Direct
0.448 0.948 0.157 Pd
0.500 0.500 0.000 Pd
0.552 0.052 0.843 Pd
0.611 0.611 0.585 Pd
0.052 0.552 0.843 Pd
0.948 0.448 0.157 Pd
0.389 0.389 0.415 Pd
0.581 0.581 0.754 P
0.419 0.419 0.246 P
0.000 0.000 0.000 Dy
0.104 0.104 0.611 Tl
0.896 0.896 0.389 Tl
```

Formation energy (eV per atom): -0.48

First-principles (PBE) data for a relaxed Pm3DyP crystal, as listed in the Alexandria database.

```
Pm3DyP
1.0
5.535 0.000 0.000
0.000 5.535 0.000
0.000 0.000 5.535
Pm P Dy
3 1 1
Direct
0.500 0.000 0.000 Pm
0.000 0.000 0.500 Pm
0.000 0.500 0.000 Pm
0.000 0.000 0.000 P
0.500 0.500 0.500 Dy
```

Formation energy (eV per atom): -0.39

First-principles (PBE) data for a relaxed PmDyP crystal, as listed in the Alexandria database.

```
PmDyP
1.0
-2.845 0.236 -2.087
1.940 -1.052 -2.764
-0.988 -5.620 3.708
Dy P Pm
1 1 1
Direct
0.242 0.242 0.485 Dy
0.621 0.621 0.242 P
0.987 0.987 0.973 Pm
```

Energy above the most stable polymorph in this dataset (eV per atom): 0.206
Formation energy (eV per atom): -0.74

First-principles (PBE) data for a relaxed Pm2DyP crystal, as listed in the Alexandria database.

```
Pm2DyP
1.0
3.876 0.000 0.000
1.938 3.357 0.000
1.938 1.119 9.541
P Pm Dy
1 2 1
Direct
0.000 0.000 0.000 P
0.274 0.274 0.179 Pm
0.726 0.726 0.821 Pm
0.500 0.500 0.500 Dy
```

Formation energy (eV per atom): -0.63

First-principles (PBE) data for a relaxed PmDyP crystal, as listed in the Alexandria database.

```
PmDyP
1.0
-3.281 1.121 0.774
-0.685 -3.104 1.593
3.848 3.148 11.758
Dy Pm P
2 2 2
Direct
0.750 0.695 0.610 Dy
0.250 0.305 0.390 Dy
0.250 0.431 0.138 Pm
0.750 0.569 0.862 Pm
0.250 0.131 0.738 P
0.750 0.869 0.262 P
```

Energy above the most stable polymorph in this dataset (eV per atom): 0.216
Formation energy (eV per atom): -0.73

First-principles (PBE) data for a relaxed Pm5DyP6 crystal, as listed in the Alexandria database.

```
Pm5DyP6
1.0
-6.819 0.527 -1.988
-3.436 -6.009 1.677
-3.145 -0.648 6.357
P Pm Dy
6 5 1
Direct
0.752 0.753 0.000 P
0.753 0.412 0.671 P
0.753 0.082 0.329 P
0.247 0.588 0.329 P
0.248 0.247 0.000 P
0.247 0.918 0.671 P
0.000 0.666 0.667 Pm
0.000 0.334 0.333 Pm
0.500 0.167 0.665 Pm
0.500 0.500 0.000 Pm
0.500 0.833 0.335 Pm
0.000 0.000 0.000 Dy
```

Formation energy (eV per atom): -1.57

First-principles (PBE) data for a relaxed PmDyP crystal, as listed in the Alexandria database.

```
PmDyP
1.0
-1.510 3.976 2.153
-2.877 3.017 -2.311
-4.565 0.416 1.309
Dy Pm P
1 1 1
Direct
0.000 0.000 0.000 Dy
0.500 0.500 0.500 Pm
0.250 0.250 0.250 P
```

Energy above the most stable polymorph in this dataset (eV per atom): 0.107
Formation energy (eV per atom): -0.84

First-principles (PBE) data for a relaxed PmDyP crystal, as listed in the Alexandria database.

```
PmDyP
1.0
-1.033 -4.885 4.185
-0.463 -2.500 -3.032
3.591 0.576 1.559
Pm Dy P
1 1 1
Direct
0.751 0.667 0.333 Pm
0.243 0.333 0.667 Dy
0.006 0.000 0.000 P
```

Energy above the most stable polymorph in this dataset (eV per atom): 0.000
Formation energy (eV per atom): -0.95

First-principles (PBE) data for a relaxed Pm2PrDy3P6 crystal, as listed in the Alexandria database.

```
Pm2PrDy3P6
1.0
7.071 0.000 0.001
-3.534 6.124 0.001
-1.179 -2.041 6.664
P Pr Dy Pm
6 1 3 2
Direct
0.751 0.751 0.259 P
0.086 0.422 0.259 P
0.249 0.249 0.741 P
0.914 0.578 0.741 P
0.578 0.914 0.741 P
0.422 0.086 0.259 P
0.000 0.000 0.000 Pr
0.500 0.500 0.500 Dy
0.834 0.166 0.500 Dy
0.166 0.834 0.500 Dy
0.333 0.667 0.000 Pm
0.667 0.333 0.000 Pm
```

Formation energy (eV per atom): -1.57

First-principles (PBE) data for a relaxed Pm2PrDyP4 crystal, as listed in the Alexandria database.

```
Pm2PrDyP4
1.0
4.123 0.000 0.000
0.000 7.133 -0.142
0.000 2.509 6.678
Dy P Pm Pr
1 4 2 1
Direct
0.000 0.500 0.500 Dy
0.500 0.254 0.744 P
0.000 0.750 0.745 P
0.000 0.250 0.255 P
0.500 0.746 0.256 P
0.500 0.000 0.500 Pm
0.000 0.000 0.000 Pm
0.500 0.500 0.000 Pr
```

Formation energy (eV per atom): -1.55

First-principles (PBE) data for a relaxed PmDyP2Rh5 crystal, as listed in the Alexandria database.

```
PmDyP2Rh5
1.0
4.054 0.000 0.000
0.000 4.054 0.000
0.000 0.000 10.700
Dy Rh Pm P
1 5 1 2
Direct
0.000 0.000 0.000 Dy
0.500 0.500 0.500 Rh
0.000 0.500 0.195 Rh
0.500 0.000 0.195 Rh
0.000 0.500 0.805 Rh
0.500 0.000 0.805 Rh
0.000 0.000 0.500 Pm
0.500 0.500 0.712 P
0.500 0.500 0.288 P
```

Formation energy (eV per atom): -0.76

First-principles (PBE) data for a relaxed Pm2DyP3Rh12 crystal, as listed in the Alexandria database.

```
Pm2DyP3Rh12
1.0
6.515 -1.426 -1.011
1.978 6.369 -1.011
1.978 1.151 6.346
Pm Rh Dy P
2 12 1 3
Direct
0.373 0.373 0.373 Pm
0.627 0.627 0.627 Pm
0.822 0.822 0.335 Rh
0.178 0.178 0.665 Rh
0.178 0.665 0.178 Rh
0.089 0.634 0.634 Rh
0.634 0.089 0.634 Rh
0.911 0.366 0.366 Rh
0.366 0.911 0.366 Rh
0.335 0.822 0.822 Rh
0.665 0.178 0.178 Rh
0.366 0.366 0.911 Rh
0.634 0.634 0.089 Rh
0.822 0.335 0.822 Rh
0.000 0.000 0.000 Dy
0.500 0.000 0.000 P
0.000 0.000 0.500 P
0.000 0.500 0.000 P
```

Formation energy (eV per atom): -0.36

First-principles (PBE) data for a relaxed Pm2DyP3Rh4 crystal, as listed in the Alexandria database.

```
Pm2DyP3Rh4
1.0
-3.080 -2.358 -1.060
0.426 -2.089 3.410
-7.121 6.979 5.166
Rh P Pm Dy
4 3 2 1
Direct
0.500 0.000 0.669 Rh
0.000 0.000 0.000 Rh
0.000 0.500 0.331 Rh
0.500 0.500 0.000 Rh
0.000 0.500 0.124 P
0.000 0.000 0.500 P
0.500 0.000 0.876 P
0.000 0.500 0.777 Pm
0.500 0.000 0.223 Pm
0.500 0.500 0.500 Dy
```

Formation energy (eV per atom): -1.07

First-principles (PBE) data for a relaxed PmDyP2Rh2 crystal, as listed in the Alexandria database.

```
PmDyP2Rh2
1.0
4.060 0.000 0.000
-2.030 3.516 0.000
0.000 0.000 8.052
Dy Pm Rh P
1 1 2 2
Direct
0.000 0.000 0.500 Dy
0.000 0.000 0.000 Pm
0.667 0.333 0.256 Rh
0.333 0.667 0.744 Rh
0.667 0.333 0.743 P
0.333 0.667 0.257 P
```

Formation energy (eV per atom): -1.23